<A>
Zn2MoIr: optimized geometry, PBE-GGA.

a b c (Å): 2.775 3.954 5.367
angles (deg): 90.00 90.00 90.00
Space group Pmmm (No. 47)
One atom of each set of equivalent atoms:
Zn (0.000, 0.000, 0.241) [2 per cell]
Mo (0.500, 0.500, 0.500) [1 per cell]
Ir (0.500, 0.500, 0.000) [1 per cell]

<B>
Zn2MoIr: optimized geometry, PBE-GGA.

a b c (Å): 7.037 7.037 5.159
angles (deg): 90.00 90.00 90.00
Space group I-42d (No. 122)
One atom of each set of equivalent atoms:
Zn (0.239, 0.250, 0.125) [8 per cell]
Mo (0.000, 0.000, 0.500) [4 per cell]
Ir (0.000, 0.000, 0.000) [4 per cell]

Structures ranked by computed energy, the most stable listed first: <A>, <B>.